[1]
# PmY3Tm4 PBE optimized geometry
data_PmY3Tm4
_chemical_formula_sum 'Pm2 Y6 Tm8'
_cell_length_a 11.212
_cell_length_b 7.250
_cell_length_c 6.253
_cell_angle_alpha 90.00
_cell_angle_beta 90.00
_cell_angle_gamma 90.00
_symmetry_space_group_name_H-M 'P m n 21'
_symmetry_Int_Tables_number 31
loop_
_symmetry_equiv_pos_as_xyz
'x,y,z'
'-x+1/2,-y,z+1/2'
'-x,y,z'
'x+1/2,-y,z+1/2'
loop_
_atom_site_label
_atom_site_fract_x
_atom_site_fract_y
_atom_site_fract_z
_atom_site_occupancy
Pm1 0.000 0.128 0.000 1
Y1 0.000 0.872 0.499 1
Y2 0.250 0.128 0.336 1
Tm1 0.000 0.378 0.504 1
Tm2 0.000 0.621 0.003 1
Tm3 0.249 0.622 0.335 1
# E above lowest polymorph = 0.0000 eV per atom
# M_tot = 0.00 μB/cell
# calculated formation energy = 0.00 eV/atom

---

[2]
# YTa2Cl PBE optimized geometry
data_YTa2Cl
_chemical_formula_sum 'Y1 Ta2 Cl1'
_cell_length_a 3.021
_cell_length_b 3.021
_cell_length_c 8.674
_cell_angle_alpha 90.00
_cell_angle_beta 90.00
_cell_angle_gamma 90.00
_symmetry_space_group_name_H-M 'P 4/m m m'
_symmetry_Int_Tables_number 123
_symmetry_space_group_name_Hall '-P 4 2'
loop_
_atom_site_label
_atom_site_fract_x
_atom_site_fract_y
_atom_site_fract_z
_atom_site_occupancy
Y1 0.000 0.000 0.000 1
Ta1 0.500 0.500 0.291 1
Cl1 0.000 0.000 0.500 1
# E_form (uncorrected) = 1.9 eV/f.u.
# E above lowest polymorph = 0.6555 eV per atom
# M_tot = 0.00 μB/cell

---

[3]
# TeAs2Br PBE optimized geometry
data_TeAs2Br
_chemical_formula_sum 'Te2 As4 Br2'
_cell_length_a 3.657
_cell_length_b 5.840
_cell_length_c 9.049
_cell_angle_alpha 90.00
_cell_angle_beta 90.00
_cell_angle_gamma 90.00
_symmetry_space_group_name_H-M 'C m m 2'
_symmetry_Int_Tables_number 35
loop_
_symmetry_equiv_pos_as_xyz
'x,y,z'
'-x,-y,z'
'-x,y,z'
'x,-y,z'
'x+1/2,y+1/2,z'
'-x+1/2,-y+1/2,z'
'-x+1/2,y+1/2,z'
'x+1/2,-y+1/2,z'
loop_
_atom_site_label
_atom_site_fract_x
_atom_site_fract_y
_atom_site_fract_z
_atom_site_occupancy
Te1 0.000 0.000 0.000 1
As1 0.000 0.000 0.537 1
As2 0.000 0.500 0.740 1
Br1 0.000 0.500 0.287 1
# E_form (uncorrected) = 1.4 eV/f.u.
# E above lowest polymorph = 0.3951 eV per atom
# M_tot = 0.00 μB/cell

---

[4]
# Ba2Li12MgHg3 PBE optimized geometry
data_Ba2Li12MgHg3
_chemical_formula_sum 'Ba6 Li36 Mg3 Hg9'
_cell_length_a 10.2990
_cell_length_b 10.2990
_cell_length_c 14.2620
_cell_angle_alpha 90.00
_cell_angle_beta 90.00
_cell_angle_gamma 120.00
_symmetry_space_group_name_H-M 'R -3 m'
_symmetry_Int_Tables_number 166
_symmetry_space_group_name_Hall '-R 3 2"'
loop_
_atom_site_label
_atom_site_fract_x
_atom_site_fract_y
_atom_site_fract_z
_atom_site_occupancy
Ba1 0.0000 0.0000 0.2359 1
Li1 0.0245 0.5123 0.2020 1
Li2 0.0419 0.5209 0.6074 1
Mg1 0.0000 0.0000 0.5000 1
Hg1 0.0000 0.5000 0.0000 1
# M_tot = 0.00 μB/cell
# calculated formation energy = -0.06 eV/atom

---

[5]
# TeH PBE optimized geometry
data_TeH
_chemical_formula_sum 'Te6 H6'
_cell_length_a 8.893
_cell_length_b 4.406
_cell_length_c 8.899
_cell_angle_alpha 90.00
_cell_angle_beta 90.00
_cell_angle_gamma 90.00
_symmetry_space_group_name_H-M 'P m n 21'
_symmetry_Int_Tables_number 31
loop_
_symmetry_equiv_pos_as_xyz
'x,y,z'
'-x+1/2,-y,z+1/2'
'-x,y,z'
'x+1/2,-y,z+1/2'
loop_
_atom_site_label
_atom_site_fract_x
_atom_site_fract_y
_atom_site_fract_z
_atom_site_occupancy
Te1 0.000 0.245 0.000 1
Te2 0.177 0.762 0.592 1
H1 0.000 0.894 0.923 1
H2 0.188 0.109 0.672 1
# E above lowest polymorph = 0.0865 eV per atom
# M_tot = 0.00 μB/cell

---

[6]
# Hf2SnPd6 PBE optimized geometry
data_Hf2SnPd6
_chemical_formula_sum 'Hf4 Sn2 Pd12'
_cell_length_a 7.304
_cell_length_b 14.023
_cell_length_c 3.169
_cell_angle_alpha 90.00
_cell_angle_beta 90.00
_cell_angle_gamma 90.00
_symmetry_space_group_name_H-M 'C m m m'
_symmetry_Int_Tables_number 65
_symmetry_space_group_name_Hall '-C 2 2'
loop_
_atom_site_label
_atom_site_fract_x
_atom_site_fract_y
_atom_site_fract_z
_atom_site_occupancy
Hf1 0.000 0.198 0.000 1
Sn1 0.000 0.500 0.500 1
Pd1 0.184 0.000 0.000 1
Pd2 0.198 0.340 0.500 1
# M_tot = 0.00 μB/cell
# calculated formation energy = -0.53 eV/atom

---

[7]
# CaCoRh2 PBE optimized geometry
data_CaCoRh2
_chemical_formula_sum 'Ca1 Co1 Rh2'
_cell_length_a 3.022
_cell_length_b 4.459
_cell_length_c 4.714
_cell_angle_alpha 90.00
_cell_angle_beta 90.00
_cell_angle_gamma 90.00
_symmetry_space_group_name_H-M 'P m m m'
_symmetry_Int_Tables_number 47
loop_
_symmetry_equiv_pos_as_xyz
'x,y,z'
'-x,-y,-z'
'-x,-y,z'
'x,y,-z'
'x,-y,-z'
'-x,y,z'
'-x,y,-z'
'x,-y,z'
loop_
_atom_site_label
_atom_site_fract_x
_atom_site_fract_y
_atom_site_fract_z
_atom_site_occupancy
Ca1 0.000 0.000 0.000 1
Co1 0.500 0.000 0.500 1
Rh1 0.000 0.500 0.500 1
Rh2 0.500 0.500 0.000 1
# E above lowest polymorph = 0.1464 eV per atom
# M_tot = 2.46 μB/cell
# calculated formation energy = 0.17 eV/atom

---

[8]
# AlPdPt3 PBE optimized geometry
data_AlPdPt3
_chemical_formula_sum 'Al1 Pd1 Pt3'
_cell_length_a 4.524
_cell_length_b 4.524
_cell_length_c 4.524
_cell_angle_alpha 90.00
_cell_angle_beta 90.00
_cell_angle_gamma 90.00
_symmetry_space_group_name_H-M 'P m -3 m'
_symmetry_Int_Tables_number 221
_symmetry_space_group_name_Hall '-P 4 2 3'
loop_
_atom_site_label
_atom_site_fract_x
_atom_site_fract_y
_atom_site_fract_z
_atom_site_occupancy
Al1 0.000 0.000 0.000 1
Pd1 0.500 0.500 0.500 1
Pt1 0.000 0.000 0.500 1
# E above lowest polymorph = 0.8658 eV per atom
# M_tot = 0.00 μB/cell
# calculated formation energy = 0.46 eV/atom